Entry from Alexandria via LeMat-Bulk: a geometry-optimized RbVPO5 structure (PBE with a Hubbard U).

Output
As for the space-group type: No. 19. The value obtained for the density is 3.09 g/cm³. As for the size of the total moment: 4.00 μB per cell. As for the total energy: -225.05 eV per cell.

a = 7.761 Å, b = 8.050 Å, c = 8.509 Å
α = 90.00°, β = 90.00°, γ = 90.00°
Fractional coordinates of all 32 atoms:
Rb (0.119, 0.048, 0.272)
Rb (0.381, 0.952, 0.772)
Rb (0.619, 0.452, 0.728)
Rb (0.881, 0.548, 0.228)
V (0.112, 0.465, 0.619)
V (0.388, 0.535, 0.119)
V (0.612, 0.035, 0.381)
V (0.888, 0.965, 0.881)
P (0.123, 0.322, 0.900)
P (0.377, 0.678, 0.400)
P (0.623, 0.178, 0.100)
P (0.877, 0.822, 0.600)
O (0.021, 0.932, 0.679)
O (0.060, 0.145, 0.934)
O (0.066, 0.334, 0.478)
O (0.186, 0.397, 0.058)
O (0.235, 0.668, 0.270)
O (0.265, 0.332, 0.770)
O (0.314, 0.603, 0.558)
O (0.434, 0.666, 0.978)
O (0.440, 0.855, 0.434)
O (0.479, 0.068, 0.179)
O (0.521, 0.568, 0.321)
O (0.560, 0.355, 0.066)
O (0.566, 0.166, 0.522)
O (0.686, 0.103, 0.942)
O (0.735, 0.832, 0.730)
O (0.765, 0.168, 0.230)
O (0.814, 0.897, 0.442)
O (0.934, 0.834, 0.022)
O (0.940, 0.645, 0.566)
O (0.979, 0.432, 0.821)